(1)
Density functional theory data (PBE) for crystalline SmEr4P5 at its relaxed geometry.

Fermi-level density of states, states/eV/f.u.: 0.59
Total energy, eV for the cell shown: -66.01
ΔH_f (0 K), eV/atom: -1.5986
Symmetry: I4/m

a = 6.924 Å, b = 6.924 Å, c = 6.924 Å
α = 99.60°, β = 99.60°, γ = 131.78°
Positions (direct):
Sm 0.000 0.000 0.000
Er 0.200 0.399 0.599
Er 0.399 0.800 0.199
Er 0.601 0.200 0.801
Er 0.800 0.601 0.401
P 0.101 0.696 0.797
P 0.304 0.101 0.406
P 0.500 0.500 0.000
P 0.696 0.899 0.594
P 0.899 0.304 0.203


(2)
Density functional theory data (PBE) for crystalline Sm3ErP4 at its relaxed geometry.

Fermi-level density of states, states/eV/f.u.: 0.70
Total energy, eV for the cell shown: -52.97
ΔH_f (0 K), eV/atom: -1.5759
Symmetry: Cmmm

a = 7.054 Å, b = 7.054 Å, c = 4.076 Å
α = 90.00°, β = 90.00°, γ = 109.46°
Positions (direct):
Sm 0.000 0.000 0.000
Sm 0.000 0.500 0.500
Sm 0.500 0.000 0.500
Er 0.500 0.500 0.000
P 0.253 0.747 0.000
P 0.256 0.256 0.500
P 0.744 0.744 0.500
P 0.747 0.253 0.000


(3)
Density functional theory data (PBE) for crystalline Sm5ErP6 at its relaxed geometry.

Fermi-level density of states, states/eV/f.u.: 1.00
Total energy, eV for the cell shown: -79.51
ΔH_f (0 K), eV/atom: -1.5745
Symmetry: C2/m

a = 7.077 Å, b = 7.077 Å, c = 7.076 Å
α = 99.60°, β = 99.60°, γ = 119.98°
Positions (direct):
Sm 0.000 0.000 0.000
Sm 0.166 0.834 0.500
Sm 0.333 0.667 0.000
Sm 0.667 0.333 0.000
Sm 0.834 0.166 0.500
Er 0.500 0.500 0.500
P 0.089 0.418 0.253
P 0.254 0.254 0.748
P 0.418 0.089 0.253
P 0.582 0.911 0.747
P 0.746 0.746 0.252
P 0.911 0.582 0.747


(4)
Density functional theory data (PBE) for crystalline Sm4ErP5 at its relaxed geometry.

Fermi-level density of states, states/eV/f.u.: 0.53
Total energy, eV for the cell shown: -66.23
ΔH_f (0 K), eV/atom: -1.5745
Symmetry: I4/m

a = 7.068 Å, b = 7.068 Å, c = 7.068 Å
α = 99.60°, β = 99.60°, γ = 131.79°
Positions (direct):
Sm 0.099 0.300 0.399
Sm 0.300 0.901 0.201
Sm 0.700 0.099 0.799
Sm 0.901 0.700 0.601
Er 0.500 0.500 0.000
P 0.000 0.000 0.000
P 0.204 0.599 0.803
P 0.401 0.204 0.606
P 0.599 0.796 0.394
P 0.796 0.401 0.197


(5)
Density functional theory data (PBE) for crystalline Sm3ErP4 at its relaxed geometry.

Fermi-level density of states, states/eV/f.u.: 0.65
Total energy, eV for the cell shown: -105.95
ΔH_f (0 K), eV/atom: -1.5768
Symmetry: P2/c

a = 7.054 Å, b = 8.154 Å, c = 7.055 Å
α = 90.00°, β = 109.51°, γ = 90.00°
Positions (direct):
Sm 0.000 0.124 0.250
Sm 0.000 0.374 0.750
Sm 0.000 0.626 0.250
Sm 0.000 0.876 0.750
Sm 0.500 0.374 0.250
Sm 0.500 0.626 0.750
Er 0.500 0.124 0.750
Er 0.500 0.876 0.250
P 0.253 0.372 0.503
P 0.253 0.628 0.003
P 0.256 0.122 0.000
P 0.256 0.878 0.500
P 0.744 0.122 0.500
P 0.744 0.878 0.000
P 0.747 0.372 0.997
P 0.747 0.628 0.497


(6)
Density functional theory data (PBE) for crystalline Tb2SmErP4 at its relaxed geometry.

Fermi-level density of states, states/eV/f.u.: 0.78
Total energy, eV for the cell shown: -52.96
ΔH_f (0 K), eV/atom: -1.5974
Symmetry: P2/m

a = 6.985 Å, b = 4.036 Å, c = 6.986 Å
α = 90.00°, β = 109.47°, γ = 90.00°
Positions (direct):
Tb 0.000 0.000 0.000
Tb 0.500 0.500 0.000
Sm 0.000 0.500 0.500
Er 0.500 0.000 0.500
P 0.254 0.000 0.752
P 0.254 0.500 0.251
P 0.746 0.000 0.248
P 0.746 0.500 0.749


(7)
Density functional theory data (PBE) for crystalline TbSm3Er2P6 at its relaxed geometry.

Fermi-level density of states, states/eV/f.u.: 1.63
Total energy, eV for the cell shown: -79.42
ΔH_f (0 K), eV/atom: -1.5873
Symmetry: C2/m

a = 7.012 Å, b = 7.012 Å, c = 7.010 Å
α = 99.59°, β = 99.59°, γ = 119.99°
Positions (direct):
Tb 0.000 0.000 0.000
Sm 0.166 0.834 0.500
Sm 0.500 0.500 0.500
Sm 0.834 0.166 0.500
Er 0.333 0.667 0.000
Er 0.667 0.333 0.000
P 0.081 0.416 0.243
P 0.254 0.254 0.757
P 0.416 0.081 0.243
P 0.584 0.919 0.757
P 0.746 0.746 0.243
P 0.919 0.584 0.757


(8)
Density functional theory data (PBE) for crystalline TbSm2ErP4 at its relaxed geometry.

Fermi-level density of states, states/eV/f.u.: 0.76
Total energy, eV for the cell shown: -52.98
ΔH_f (0 K), eV/atom: -1.5883
Symmetry: P2/m

a = 7.018 Å, b = 4.055 Å, c = 7.020 Å
α = 90.00°, β = 109.47°, γ = 90.00°
Positions (direct):
Tb 0.000 0.000 0.000
Sm 0.500 0.000 0.500
Sm 0.500 0.500 0.000
Er 0.000 0.500 0.500
P 0.243 0.000 0.746
P 0.244 0.500 0.250
P 0.756 0.500 0.750
P 0.757 0.000 0.254


For the records above, the corresponding total magnetic moment values read 0.000 0.000 0.000 0.000 0.000 0.000 0.000 0.000 μB/atom.